Model A:
This record from Alexandria describes an optimized crystal structure of Al2Fe2Au. The functional is PBE.

abc: 6.8601 6.8601 2.9859
angles: 90.00 90.00 90.00
Space group P4/mbm (No. 127)
Unique sites:
Al 0.1347 0.3653 0.0000 [4 per cell]
Fe 0.1607 0.6607 0.5000 [4 per cell]
Au 0.0000 0.0000 0.0000 [2 per cell]

Output
The calculation puts the total moment at 8.28 μB/cell. The value obtained for the mass density is 8.57 g/cm3.

Model B:
This record from Alexandria describes an optimized crystal structure of Al2Fe2Au. The functional is PBE.

abc: 7.1621 7.1621 2.7366
angles: 90.00 90.00 90.00
Space group P4/mbm (No. 127)
Unique sites:
Al 0.1798 0.3202 0.0000 [4 per cell]
Fe 0.1151 0.6151 0.5000 [4 per cell]
Au 0.0000 0.0000 0.5000 [2 per cell]

Output
The calculation puts the total moment at 7.07 μB/cell. The value obtained for the mass density is 8.58 g/cm3.

Stability summary - winner: model B; margin: 63 meV per atom.

Model A:
This record from Alexandria describes an optimized crystal structure of Al2FeAu2. The functional is PBE.

abc: 6.7207 6.7207 3.4882
angles: 90.00 90.00 90.00
Space group P4/mbm (No. 127)
Unique sites:
Al 0.1482 0.3518 0.0000 [4 per cell]
Fe 0.0000 0.0000 0.0000 [2 per cell]
Au 0.1567 0.6567 0.5000 [4 per cell]

Output
The calculation puts the total moment at 0.00 μB/cell. The value obtained for the mass density is 10.62 g/cm3.

Model B:
This record from Alexandria describes an optimized crystal structure of Al2FeAu2. The functional is PBE.

abc: 7.3230 7.3230 3.0652
angles: 90.00 90.00 90.00
Space group P4/mbm (No. 127)
Unique sites:
Al 0.1638 0.3362 0.0000 [4 per cell]
Fe 0.0000 0.0000 0.5000 [2 per cell]
Au 0.1392 0.6392 0.5000 [4 per cell]

Output
The calculation puts the total moment at 5.14 μB/cell. The value obtained for the mass density is 10.18 g/cm3.

Stability summary - winner: model B; margin: 107 meV per atom.

Model A:
This record from Alexandria describes an optimized crystal structure of AlGa2Au2. The functional is PBE.

abc: 3.8150 3.8150 12.9387
angles: 90.00 90.00 90.00
Space group I4/mmm (No. 139)
Unique sites:
Al 0.0000 0.0000 0.0000 [2 per cell]
Ga 0.0000 0.5000 0.2500 [4 per cell]
Au 0.0000 0.0000 0.3961 [4 per cell]

Output
The calculation puts the total moment at 0.00 μB/cell. The value obtained for the mass density is 9.88 g/cm3.

Model B:
This record from Alexandria describes an optimized crystal structure of AlGa2Au2. The functional is PBE.

abc: 7.0231 7.0231 3.8979
angles: 90.00 90.00 90.00
Space group P4/mbm (No. 127)
Unique sites:
Al 0.0000 0.0000 0.0000 [2 per cell]
Ga 0.1551 0.3449 0.5000 [4 per cell]
Au 0.1533 0.6533 0.0000 [4 per cell]

Output
The calculation puts the total moment at 0.00 μB/cell. The value obtained for the mass density is 9.68 g/cm3.

Model C:
This record from Alexandria describes an optimized crystal structure of AlGa2Au2. The functional is PBE.

abc: 8.2548 8.2548 2.7707
angles: 90.00 90.00 90.00
Space group P4/mbm (No. 127)
Unique sites:
Al 0.0000 0.0000 0.0000 [2 per cell]
Ga 0.1292 0.3708 0.0000 [4 per cell]
Au 0.1686 0.6686 0.5000 [4 per cell]

Output
The calculation puts the total moment at 0.00 μB/cell. The value obtained for the mass density is 9.86 g/cm3.

Stability summary - winner: model B; margin: 18 meV per atom.

Model A:
This record from Alexandria describes an optimized crystal structure of AlGaAu3. The functional is PBE.

abc: 4.9138 4.9138 4.9138
angles: 90.00 90.00 90.00
Space group Pm-3m (No. 221)
Unique sites:
Al 0.0000 0.0000 0.0000 [1 per cell]
Ga 0.5000 0.5000 0.5000 [1 per cell]
Au 0.0000 0.0000 0.5000 [3 per cell]

Output
The calculation puts the total moment at 0.00 μB/cell. The value obtained for the mass density is 9.62 g/cm3.

Model B:
This record from Alexandria describes an optimized crystal structure of AlGaAu3. The functional is PBE.

abc: 3.4449 7.2463 7.4619
angles: 90.00 90.00 90.00
Space group Pmmn (No. 59, origin choice 2)
Unique sites:
Al 0.2500 0.2500 0.0006 [2 per cell]
Ga 0.2500 0.2500 0.5682 [2 per cell]
Au 0.2500 0.5531 0.1984 [4 per cell]
Au 0.2500 0.7500 0.7056 [2 per cell]

Output
The calculation puts the total moment at 0.00 μB/cell. The value obtained for the mass density is 12.26 g/cm3.

Model C:
This record from Alexandria describes an optimized crystal structure of AlGaAu3. The functional is PBE.

abc: 4.1795 5.5006 8.0616
angles: 90.00 90.00 90.00
Space group Pmmn (No. 59, origin choice 2)
Unique sites:
Al 0.2500 0.2500 0.0739 [2 per cell]
Ga 0.2500 0.7500 0.3736 [2 per cell]
Au 0.2500 0.0002 0.8026 [4 per cell]
Au 0.2500 0.2500 0.4156 [2 per cell]

Output
The calculation puts the total moment at 0.00 μB/cell. The value obtained for the mass density is 12.32 g/cm3.

Stability summary - winner: model C; margin: 58 meV per atom.

Model A:
This record from Alexandria describes an optimized crystal structure of Al2GaAu8. The functional is PBE.

abc: 12.2444 7.1138 4.8986
angles: 90.00 103.52 90.00
Space group C2/m (No. 12)
Unique sites:
Al 0.1335 0.0000 0.0521 [4 per cell]
Ga 0.0000 0.0000 0.5000 [2 per cell]
Au 0.0706 0.2980 0.2746 [8 per cell]
Au 0.1507 0.5000 0.8100 [4 per cell]
Au 0.2198 0.0000 0.6214 [4 per cell]

Output
The calculation puts the total moment at 0.00 μB/cell. The value obtained for the mass density is 13.60 g/cm3.

Model B:
This record from Alexandria describes an optimized crystal structure of Al2GaAu8. The functional is PBE.

abc: 4.7430 6.1320 7.7169
angles: 111.95 106.12 94.04
Space group P-1 (No. 2)
Unique sites:
Al 0.1587 0.1600 0.3173 [2 per cell]
Ga 0.5000 0.5000 0.0000 [1 per cell]
Au 0.1202 0.6188 0.2389 [2 per cell]
Au 0.2348 0.8645 0.0008 [2 per cell]
Au 0.3034 0.0562 0.6317 [2 per cell]
Au 0.3282 0.5776 0.6325 [2 per cell]

Output
The calculation puts the total moment at 0.00 μB/cell. The value obtained for the mass density is 14.39 g/cm3.

Stability summary - winner: model B; margin: 76 meV per atom.

Model A:
This record from Alexandria describes an optimized crystal structure of ScAlGaAu. The functional is PBE.

abc: 6.6011 6.6011 6.6011
angles: 90.00 90.00 90.00
Space group F-43m (No. 216)
Unique sites:
Sc 0.0000 0.0000 0.0000 [4 per cell]
Al 0.0000 0.0000 0.5000 [4 per cell]
Ga 0.2500 0.2500 0.7500 [4 per cell]
Au 0.2500 0.2500 0.2500 [4 per cell]

Output
The calculation puts the total moment at 0.00 μB/cell. The value obtained for the mass density is 7.82 g/cm3.

Model B:
This record from Alexandria describes an optimized crystal structure of ScAlGaAu. The functional is PBE.

abc: 4.0659 4.1029 4.2297
angles: 90.00 90.00 90.00
Space group Pmmm (No. 47)
Unique sites:
Sc 0.0000 0.0000 0.0000 [1 per cell]
Al 0.0000 0.5000 0.5000 [1 per cell]
Ga 0.5000 0.5000 0.0000 [1 per cell]
Au 0.5000 0.0000 0.5000 [1 per cell]

Output
The calculation puts the total moment at 0.00 μB/cell. The value obtained for the mass density is 7.97 g/cm3.

Stability summary - winner: model B; margin: 62 meV per atom.

Model A:
This record from Alexandria describes an optimized crystal structure of AlGeAu2. The functional is PBE.

abc: 3.1034 3.1034 7.4829
angles: 90.00 90.00 90.00
Space group P4/mmm (No. 123)
Unique sites:
Al 0.0000 0.0000 0.0000 [1 per cell]
Ge 0.0000 0.0000 0.5000 [1 per cell]
Au 0.5000 0.5000 0.2167 [2 per cell]

Output
The calculation puts the total moment at 0.00 μB/cell. The value obtained for the mass density is 11.37 g/cm3.

Model B:
This record from Alexandria describes an optimized crystal structure of AlGeAu2. The functional is PBE.

abc: 7.3845 7.3845 5.6609
angles: 90.00 90.00 90.00
Space group I-42d (No. 122)
Unique sites:
Al 0.0000 0.0000 0.0000 [4 per cell]
Ge 0.0000 0.0000 0.5000 [4 per cell]
Au 0.2317 0.2500 0.1250 [8 per cell]

Output
The calculation puts the total moment at 0.00 μB/cell. The value obtained for the mass density is 10.62 g/cm3.

Stability summary - winner: model A; margin: 111 meV per atom.

Model A:
This record from Alexandria describes an optimized crystal structure of AlGeAu2. The functional is PBE.

abc: 6.6103 6.6103 6.6103
angles: 90.00 90.00 90.00
Space group Fm-3m (No. 225)
Unique sites:
Al 0.0000 0.0000 0.0000 [4 per cell]
Ge 0.0000 0.0000 0.5000 [4 per cell]
Au 0.2500 0.2500 0.2500 [8 per cell]

Output
The calculation puts the total moment at 0.00 μB/cell. The value obtained for the mass density is 11.35 g/cm3.

Model B:
This record from Alexandria describes an optimized crystal structure of AlGeAu2. The functional is PBE.

abc: 3.2365 3.2365 24.1413
angles: 90.00 90.00 120.00
Space group R-3m (No. 166, hexagonal axes)
Unique sites:
Al 0.0000 0.0000 0.0000 [3 per cell]
Ge 0.0000 0.0000 0.5000 [3 per cell]
Au 0.0000 0.0000 0.2551 [6 per cell]

Output
The calculation puts the total moment at 0.00 μB/cell. The value obtained for the mass density is 11.23 g/cm3.

Model C:
This record from Alexandria describes an optimized crystal structure of AlGeAu2. The functional is PBE.

abc: 3.2394 3.2394 24.3500
angles: 90.00 90.00 120.00
Space group R3m (No. 160, hexagonal axes)
Unique sites:
Al 0.0000 0.0000 0.0000 [3 per cell]
Ge 0.0000 0.0000 0.1669 [3 per cell]
Au 0.0000 0.0000 0.4103 [3 per cell]
Au 0.0000 0.0000 0.5899 [3 per cell]

Output
The calculation puts the total moment at 0.00 μB/cell. The value obtained for the mass density is 11.11 g/cm3.

Stability summary - winner: model B; margin: 35 meV per atom.